Sm3MgSb after structural relaxation. Source: Alexandria via LeMat-Bulk, functional PBE.

Structure (POSCAR):
```
Sm3MgSb
1.0
-0.5163 -4.9761 -1.0338
2.8450 -1.8044 7.2647
-8.5966 1.0551 -0.7848
Sm Sb Mg
6 2 2
direct
0.5000 0.5000 0.5000
0.0000 0.8427 0.6854
0.5000 0.3282 0.0000
0.5000 0.0000 0.5000
0.0000 0.1573 0.3146
0.5000 0.6718 0.0000
0.0000 0.3635 0.7269
0.0000 0.6365 0.2731
0.5000 0.0862 0.1725
0.5000 0.9138 0.8275
```

## Properties
**Crystal system**: orthorhombic
**V**: 31.58 Å³ per atom
**Electronic total energy**: -0.1455 Ha/atom
**Energy relative to the elements, uncorrected**: 0.0168 eV/atom
**Spin magnetization**: 0.0 μB/cell
**Symmetry**: Cmmm
**N(E_F)**: 9.72 states/eV/cell